No. 1
Na2HIr | PBE-GGA | relaxed

The structure in POSCAR format:
```
Na2HIr
1.0
0.0000 3.4245 3.4245
3.4245 0.0000 3.4245
3.4245 3.4245 0.0000
Na H Ir
2 1 1
Cartesian
1.7123 1.7123 1.7123
5.1368 5.1368 5.1368
0.0000 0.0000 0.0000
3.4245 3.4245 3.4245
```

Summary:
For the relative energy among the computed polymorphs, the calculation gives 734 meV/atom. The total energy is -2.66 eV per atom.



No. 2
PmSm5Er2Tm | PBE-GGA | relaxed

The structure in POSCAR format:
```
PmSm5Er2Tm
1.0
2.8067 -10.0976 0.0000
2.8067 10.0976 0.0000
0.0000 0.0000 10.6827
Pm Sm Er Tm
2 10 4 2
Cartesian
2.8067 6.0411 5.3414
2.8067 -6.0411 0.0000
2.8067 9.7635 5.4742
2.8067 4.4127 8.5231
2.8067 4.0717 2.0867
2.8067 2.1962 5.4940
2.8067 0.4004 2.4770
2.8067 -0.4004 7.8183
2.8067 -2.1962 0.1527
2.8067 -4.0717 7.4280
2.8067 -4.4127 3.1817
2.8067 -9.7635 0.1328
2.8067 7.8812 2.4457
2.8067 7.7720 8.6077
2.8067 -7.7720 3.2663
2.8067 -7.8812 7.7871
2.8067 1.8027 10.1406
2.8067 -1.8027 4.7993
```

Summary:
The calculation puts the formation enthalpy at 0 K at 0.1488 eV/atom. The total energy is -4.51 eV per atom.



No. 3
Ac2PuSc | PBE-GGA | relaxed

The structure in POSCAR format:
```
Ac2PuSc
1.0
3.7734 0.0000 0.0000
0.0000 3.7734 0.0000
0.0000 0.0000 9.8026
Ac Pu Sc
2 1 1
Cartesian
0.0000 0.0000 2.3454
0.0000 0.0000 7.4573
1.8867 1.8867 4.9013
1.8867 1.8867 0.0000
```

Summary:
For the relative energy among the computed polymorphs, the calculation gives 0 meV/atom. The calculation puts the formation enthalpy at 0 K at 0.1940 eV/atom. The total energy is -7.03 eV per atom.



No. 4
NaHgTe2 | PBE-GGA | relaxed

The structure in POSCAR format:
```
NaHgTe2
1.0
2.5063 1.4470 8.0352
-2.5063 1.4470 8.0352
0.0000 -2.8941 8.0352
Na Hg Te
1 1 2
Cartesian
0.0000 0.0000 0.0000
0.0000 0.0000 12.0529
0.0000 0.0000 9.3982
0.0000 0.0000 14.7075
```

Summary:
The calculation puts the energy relative to the elements, uncorrected at -0.20 eV per atom. The total energy is -2.17 eV per atom.



No. 5
Tb6Er2MgSc3 | PBE-GGA | relaxed

The structure in POSCAR format:
```
Tb6Er2MgSc3
1.0
3.0002 -5.1963 0.0000
3.0002 5.1963 0.0000
-2.0035 0.0000 11.1588
Tb Er Mg Sc
6 2 1 3
Cartesian
-0.0040 1.7334 8.4508
1.0033 0.0000 2.7031
-0.0040 -1.7334 8.4508
4.0009 1.7334 2.7081
2.9936 0.0000 8.4557
4.0009 -1.7334 2.7081
1.9985 1.7314 5.5794
1.9985 -1.7314 5.5794
-1.0018 0.0000 5.5794
3.0002 3.4691 0.0000
3.0002 0.0000 0.0000
3.0002 -3.4691 0.0000
```

Summary:
The calculation puts the formation enthalpy at 0 K at 0.0442 eV/atom. The total energy is -4.75 eV per atom.



No. 6
Sm5Tl2Hg2 | PBE-GGA | relaxed

The structure in POSCAR format:
```
Sm5Tl2Hg2
1.0
8.3591 -4.3693 0.0000
8.3591 4.3693 0.0000
0.0000 0.0000 7.4577
Sm Tl Hg
10 4 4
Cartesian
0.0000 0.0000 0.0000
6.0177 2.7454 4.9083
6.0177 1.6239 1.1794
10.7004 2.7454 4.9083
10.7004 1.6239 1.1794
8.3591 0.0000 3.7289
6.0177 -1.6239 6.2783
6.0177 -2.7454 2.5494
10.7004 -1.6239 6.2783
10.7004 -2.7454 2.5494
3.5029 0.0000 0.0000
4.8561 0.0000 3.7289
11.8620 0.0000 3.7289
13.2152 0.0000 0.0000
8.3591 3.1357 2.8394
8.3591 1.2337 6.5682
8.3591 -1.2337 0.8895
8.3591 -3.1357 4.6183
```

Summary:
The calculation puts the formation enthalpy at 0 K at -0.3408 eV/atom. The total energy is -3.56 eV per atom.



No. 7
MnTe3Cl | PBE-GGA | relaxed

The structure in POSCAR format:
```
MnTe3Cl
1.0
5.3461 0.0000 0.0000
0.0000 5.3461 0.0000
0.0000 0.0000 5.3461
Mn Te Cl
1 3 1
Cartesian
0.0000 0.0000 0.0000
0.0000 2.6731 2.6731
2.6731 0.0000 2.6731
2.6731 2.6731 0.0000
2.6731 2.6731 2.6731
```

Summary:
For the relative energy among the computed polymorphs, the calculation gives 535 meV/atom. The calculation puts the energy relative to the elements, uncorrected at 0.87 eV per atom. The total energy is -3.22 eV per atom.



No. 8
MnGaCuTe2 | PBE-GGA | relaxed

The structure in POSCAR format:
```
MnGaCuTe2
1.0
5.6608 0.0000 0.0000
0.0000 5.6608 0.0000
0.0000 0.0000 4.6291
Mn Ga Cu Te
1 1 1 2
Cartesian
0.0000 0.0000 0.0000
2.8304 2.8304 2.3145
2.8304 2.8304 0.0000
0.0000 2.8304 2.3145
2.8304 0.0000 2.3145
```

Summary:
The calculation puts the energy relative to the elements, uncorrected at 0.64 eV per atom. The total energy is -3.87 eV per atom.



No. 9
In2OsAu | PBE-GGA | relaxed

The structure in POSCAR format:
```
In2OsAu
1.0
5.1161 -1.6542 0.0000
5.1161 1.6542 0.0000
-1.5073 0.0000 4.4308
In Os Au
2 1 1
Cartesian
0.0000 0.0000 0.0000
1.3980 0.0000 2.7396
7.3582 0.0000 0.4675
4.1220 0.0000 2.1315
```

Summary:
The calculation puts the formation enthalpy at 0 K at 0.2723 eV/atom. The total energy is -4.72 eV per atom.



No. 10
InSbRh2 | PBE-GGA | relaxed

The structure in POSCAR format:
```
InSbRh2
1.0
4.1243 -1.6177 0.0000
4.1243 1.6177 0.0000
-1.2344 0.0000 5.4880
In Sb Rh
1 1 2
Cartesian
0.0000 0.0000 0.0000
3.5071 0.0000 2.7440
1.1313 0.0000 4.0304
5.8830 0.0000 1.4577
```

Summary:
The calculation puts the energy relative to the elements, uncorrected at -0.22 eV per atom. The total energy is -5.62 eV per atom.



No. 11
NdHoTlZn | PBE-GGA | relaxed

The structure in POSCAR format:
```
NdHoTlZn
1.0
3.7076 0.0000 0.0000
0.0000 3.7076 0.0000
0.0000 0.0000 7.5765
Nd Ho Tl Zn
1 1 1 1
Cartesian
0.0000 0.0000 0.0000
0.0000 0.0000 4.1213
1.8538 1.8538 2.1638
1.8538 1.8538 5.7102
```

Summary:
For the relative energy among the computed polymorphs, the calculation gives 0 meV/atom. The calculation puts the formation enthalpy at 0 K at -0.3497 eV/atom. The total energy is -3.60 eV per atom.



No. 12
PaInOsRu | PBE-GGA | relaxed

The structure in POSCAR format:
```
PaInOsRu
1.0
0.0000 3.3556 3.3556
3.3556 0.0000 3.3556
3.3556 3.3556 0.0000
Pa In Os Ru
1 1 1 1
Cartesian
0.0000 0.0000 0.0000
3.3556 3.3556 3.3556
5.0335 5.0335 5.0335
1.6778 1.6778 1.6778
```

Summary:
The calculation puts the formation enthalpy at 0 K at -0.1821 eV/atom. The total energy is -8.37 eV per atom.



No. 13
CaZrCl2 | PBE-GGA | relaxed

The structure in POSCAR format:
```
CaZrCl2
1.0
-1.6507 3.2267 4.5969
1.6507 -3.2267 4.5969
1.6507 3.2267 -4.5969
Ca Zr Cl
1 1 2
Cartesian
0.0000 0.0000 0.0000
0.0000 0.0000 4.5969
1.6507 0.0000 2.5220
0.0000 3.2267 2.0749
```

Summary:
For the relative energy among the computed polymorphs, the calculation gives 200 meV/atom. The calculation puts the energy relative to the elements, uncorrected at -0.97 eV per atom. The total energy is -4.53 eV per atom.



No. 14
Tm8Se6S | PBE-GGA | relaxed

The structure in POSCAR format:
```
Tm8Se6S
1.0
8.4000 0.0000 0.0000
-4.2000 7.2746 0.0000
0.0000 0.0000 5.6914
Tm Se S
8 6 1
Cartesian
-1.1231 1.9453 1.5123
-3.0769 5.3293 4.1790
2.2462 0.0000 1.5123
1.1231 1.9453 4.1790
0.0000 4.8497 0.0000
4.2000 2.4249 0.0000
6.1538 0.0000 4.1790
3.0769 5.3293 1.5123
-1.6232 2.8115 4.2823
-2.5768 4.4631 1.4090
3.2464 0.0000 4.2823
1.6232 2.8115 1.4090
5.1536 0.0000 1.4090
2.5768 4.4631 4.2823
0.0000 0.0000 0.0000
```

Summary:
The calculation puts the energy relative to the elements, uncorrected at -1.39 eV per atom. The total energy is -5.45 eV per atom.



No. 15
Tb2Y3Ag2 | PBE-GGA | relaxed

The structure in POSCAR format:
```
Tb2Y3Ag2
1.0
2.6866 1.5511 7.7290
-2.6866 1.5511 7.7290
0.0000 -3.1022 7.7290
Tb Y Ag
2 3 2
Cartesian
0.0000 0.0000 1.7580
0.0000 0.0000 21.4291
0.0000 0.0000 7.8533
0.0000 0.0000 11.5936
0.0000 0.0000 15.3339
0.0000 0.0000 4.9154
0.0000 0.0000 18.2717
```

Summary:
The calculation puts the formation enthalpy at 0 K at -0.1046 eV/atom. The total energy is -5.01 eV per atom.



No. 16
Zr5Ag2Hg12 | PBE-GGA | relaxed

The structure in POSCAR format:
```
Zr5Ag2Hg12
1.0
7.2584 -4.0344 0.0000
7.2584 4.0344 0.0000
-0.0698 0.0000 7.1787
Zr Ag Hg
5 2 12
Cartesian
0.0000 0.0000 0.0000
3.4294 0.0000 6.5203
4.4694 0.0000 3.4611
9.9777 0.0000 3.7176
11.0177 0.0000 0.6584
7.2235 1.6173 3.5893
7.2235 -1.6173 3.5893
4.7613 2.4980 5.2768
1.3592 0.0000 4.3285
5.5135 1.6451 1.0311
9.6858 2.4980 1.9019
8.9336 1.6451 6.1475
6.4441 0.0000 5.7926
8.0030 0.0000 1.3861
5.5135 -1.6451 1.0311
4.7613 -2.4980 5.2768
8.9336 -1.6451 6.1475
13.0879 0.0000 2.8502
9.6858 -2.4980 1.9019
```

Summary:
The calculation puts the formation enthalpy at 0 K at 0.0589 eV/atom. The total energy is -2.68 eV per atom.



No. 17
AlSiSe | PBE-GGA | relaxed

The structure in POSCAR format:
```
AlSiSe
1.0
5.3890 0.0000 0.0000
0.0000 3.8223 0.0000
-2.5467 0.0000 7.9299
Al Si Se
2 2 2
Cartesian
0.0000 0.0000 0.0000
0.1591 1.9111 5.6904
-0.6035 1.9111 3.3657
4.3944 0.0000 2.2235
-0.9844 1.9111 7.8537
1.7195 0.0000 5.7498
```

Summary:
The calculation puts the energy relative to the elements, uncorrected at -0.22 eV per atom. The total energy is -4.44 eV per atom.



No. 18
SrCuCl4 | PBE-GGA | relaxed

The structure in POSCAR format:
```
SrCuCl4
1.0
0.0000 4.2412 4.2412
4.2412 0.0000 4.2412
4.2412 4.2412 0.0000
Sr Cu Cl
1 1 4
Cartesian
0.0000 0.0000 0.0000
2.1206 2.1206 2.1206
5.2968 3.1856 3.1856
3.1856 5.2968 3.1856
3.1856 3.1856 5.2968
5.2968 5.2968 5.2968
```

Summary:
For the relative energy among the computed polymorphs, the calculation gives 1188 meV/atom. The calculation puts the energy relative to the elements, uncorrected at -0.24 eV per atom. The total energy is -2.44 eV per atom.



No. 19
NdEuN | PBE-GGA | relaxed

The structure in POSCAR format:
```
NdEuN
1.0
3.6613 0.0000 0.0000
-1.8307 3.1708 0.0000
0.0000 0.0000 6.4848
Nd Eu N
1 1 1
Cartesian
0.0000 0.0000 0.0000
1.8307 1.0569 3.6887
0.0000 2.1139 5.2405
```

Summary:
For the relative energy among the computed polymorphs, the calculation gives 0 meV/atom. The calculation puts the energy relative to the elements, uncorrected at -0.79 eV per atom. The total energy is -8.58 eV per atom.



No. 20
La10Si8O3 | PBE-GGA | relaxed

The structure in POSCAR format:
```
La10Si8O3
1.0
10.9669 0.0000 0.0000
-5.4835 9.4976 0.0000
0.0000 0.0000 4.6767
La Si O
10 8 3
Cartesian
0.0000 0.0000 0.0000
-2.7417 4.7488 2.3383
0.0000 3.9878 0.0000
-2.0299 7.5037 0.0000
3.4535 1.9939 0.0000
5.4835 0.0000 2.3383
2.7417 4.7488 2.3383
2.0299 7.5037 0.0000
7.5134 1.9939 0.0000
5.4835 5.5098 0.0000
-1.1947 2.0693 2.3383
-4.2887 7.4283 2.3383
2.3894 0.0000 2.3383
1.1947 2.0693 2.3383
0.0000 6.3318 2.3383
5.4835 3.1659 2.3383
8.5775 0.0000 2.3383
4.2887 7.4283 2.3383
-2.7417 4.7488 0.0000
5.4835 0.0000 0.0000
2.7417 4.7488 0.0000
```

Summary:
The calculation puts the energy relative to the elements, uncorrected at -1.37 eV per atom. The total energy is -6.49 eV per atom.



No. 21
Ho3As2Rh7 | PBE-GGA | relaxed

The structure in POSCAR format:
```
Ho3As2Rh7
1.0
2.0451 -13.9261 0.0000
2.0451 13.9261 0.0000
0.0000 0.0000 3.9831
Ho As Rh
3 2 7
Cartesian
0.0000 0.0000 0.0000
2.0451 8.2850 0.0000
2.0451 -8.2850 0.0000
2.0451 2.3722 1.9916
2.0451 -2.3722 1.9916
2.0451 10.2843 1.9916
2.0451 5.8635 1.9916
2.0451 3.6969 0.0000
2.0451 0.0000 1.9916
2.0451 -3.6969 0.0000
2.0451 -5.8635 1.9916
2.0451 -10.2843 1.9916
```

Summary:
The calculation puts the formation enthalpy at 0 K at -0.6213 eV/atom. The total energy is -6.83 eV per atom.



No. 22
NaHfIn | PBE-GGA | relaxed

The structure in POSCAR format:
```
NaHfIn
1.0
3.9775 0.0000 0.0000
0.0000 3.9775 0.0000
0.0000 0.0000 11.7119
Na Hf In
2 2 2
Cartesian
0.9944 0.9944 2.9157
2.9831 2.9831 8.7961
0.9944 0.9944 11.3335
2.9831 2.9831 0.3784
0.9944 2.9831 5.8559
2.9831 0.9944 5.8559
```

Summary:
For the relative energy among the computed polymorphs, the calculation gives 627 meV/atom. The calculation puts the formation enthalpy at 0 K at 0.5353 eV/atom. The total energy is -4.13 eV per atom.



No. 23
PmSc2Pt2 | PBE-GGA | relaxed

The structure in POSCAR format:
```
PmSc2Pt2
1.0
-2.2007 2.2007 5.8213
2.2007 -2.2007 5.8213
2.2007 2.2007 -5.8213
Pm Sc Pt
1 2 2
Cartesian
0.0000 0.0000 0.0000
2.2007 0.0000 2.9106
0.0000 2.2007 2.9106
0.0000 0.0000 4.4833
0.0000 0.0000 7.1593
```

Summary:
For the relative energy among the computed polymorphs, the calculation gives 0 meV/atom. The calculation puts the formation enthalpy at 0 K at -1.0082 eV/atom. The total energy is -6.91 eV per atom.



No. 24
Dy12MgTl3 | PBE-GGA | relaxed

The structure in POSCAR format:
```
Dy12MgTl3
1.0
4.8605 0.0000 0.0000
0.0000 4.8605 0.0000
0.0000 0.0000 19.4677
Dy Mg Tl
12 1 3
Cartesian
0.0000 0.0000 0.0000
0.0000 0.0000 4.8578
0.0000 0.0000 9.7338
0.0000 0.0000 14.6098
0.0000 2.4303 2.4211
0.0000 2.4303 7.2803
0.0000 2.4303 12.1874
0.0000 2.4303 17.0466
2.4303 0.0000 2.4211
2.4303 0.0000 7.2803
2.4303 0.0000 12.1874
2.4303 0.0000 17.0466
2.4303 2.4303 9.7338
2.4303 2.4303 0.0000
2.4303 2.4303 4.8364
2.4303 2.4303 14.6313
```

Summary:
The calculation puts the formation enthalpy at 0 K at -0.1275 eV/atom. The total energy is -4.12 eV per atom.